VASP calculation (GGA-PBE) on crystalline Tm6InSe3S2 at its relaxed geometry.

extended XYZ file:
```
12
Lattice="-0.126 -3.897 -0.356 1.397 0.696 -8.107 8.126 1.366 3.701" Properties=species:S:1:pos:R:3 pbc="T T T"
Se 3.830 0.385 -5.561
Se 5.567 -2.220 0.799
Se 0.636 -1.601 -4.232
Tm 2.818 -2.075 0.184
Tm 6.579 0.240 -4.946
Tm 8.923 -2.010 -2.674
Tm 5.891 -0.084 -1.161
Tm 3.507 -1.751 -3.601
Tm 0.474 0.176 -2.089
In -0.063 -1.949 -0.178
S 3.214 0.038 -1.552
S 6.183 -1.873 -3.210
```

Results
The calculation puts the volume at 23.0 Å³/atom. The space-group type is C2/m, No. 12. The value obtained for the uncorrected formation energy is -145 kJ/mol of atoms.